(1)
Here is a relaxed structure of Sm3ErCo8 from the Alexandria database. Energies are from PBE.

Cell: 5.1098 5.1098 25.0623 Å, 90.00 90.00 120.00°
Closest atoms and distances in Å follow each position.
Space group R3m (No. 160, hexagonal axes)
Unique sites:
Sm 0.0000 0.0000 0.0000  12 Co 3.00-3.03, 4 Sm 3.13-3.14
Sm 0.0000 0.0000 0.1252  12 Co 2.97-3.00, 3 Er 3.13, 1 Sm 3.14
Sm 0.0000 0.0000 0.6250  12 Co 3.00-3.03, 1 Er 3.13, 3 Sm 3.13
Er 0.0000 0.0000 0.5003  12 Co 2.97-2.99, 4 Sm 3.13
Co 0.0000 0.0000 0.3126  6 Co 2.57-2.58
Co 0.0000 0.0000 0.8130  6 Co 2.53-2.55
Co 0.0030 0.5015 0.0638  6 Co 2.53-2.58
Co 0.1676 0.3351 0.8948  6 Co 2.53-2.58

Results
For the total energy, the calculation gives -6.426 eV per atom. As for the crystal system: trigonal. For the size of the total moment, the calculation gives 7.6 μB per formula unit.

(2)
Here is a relaxed structure of SmErCo2 from the Alexandria database. Energies are from PBE.

Cell: 3.8678 5.5903 7.5324 Å, 90.00 90.00 90.00°
Closest atoms and distances in Å follow each position.
Space group Pmc2_1 (No. 26)
Unique sites:
Sm 0.0000 0.1327 0.0000  7 Co 2.95-3.04
Er 0.5000 0.3687 0.6438  6 Co 2.85-2.92
Co 0.0000 0.3600 0.3529  2 Co 2.26
Co 0.5000 0.1633 0.2976  2 Co 2.26

Results
For the total energy, the calculation gives -6.044 eV per atom. As for the crystal system: orthorhombic. As for the distance to the lowest polymorph of the same formula: 0.000 eV/atom. For the size of the total moment, the calculation gives 0.2 μB per formula unit.

(3)
Here is a relaxed structure of SmErZnCo from the Alexandria database. Energies are from PBE.

Cell: 6.9357 6.9357 6.9357 Å, 90.00 90.00 90.00°
Closest atoms and distances in Å follow each position.
Space group F-43m (No. 216)
Unique sites:
Sm 0.0000 0.0000 0.0000  4 Co 3.00, 4 Zn 3.00
Er 0.0000 0.0000 0.5000  4 Co 3.00, 4 Zn 3.00
Zn 0.2500 0.2500 0.2500  4 Er 3.00, 4 Sm 3.00
Co 0.2500 0.2500 0.7500  4 Er 3.00, 4 Sm 3.00

Results
For the total energy, the calculation gives -4.615 eV per atom. As for the crystal system: cubic. For the size of the total moment, the calculation gives 0.0 μB per formula unit.

(4)
Here is a relaxed structure of Er7Co6Sn23 from the Alexandria database. Energies are from PBE.

Cell: 9.6799 9.6799 9.8893 Å, 90.00 90.00 120.00°
Closest atoms and distances in Å follow each position.
Space group P-3m1 (No. 164)
Unique sites:
Er 0.0000 0.0000 0.0000  12 Sn 3.35, 6 Co 3.44
Er 0.0416 0.5208 0.3071  10 Sn 3.08-3.40, 2 Co 3.16
Co 0.1684 0.3368 0.8018  6 Sn 2.58-2.77
Sn 0.0000 0.0000 0.5000  6 Sn 2.98
Sn 0.0000 0.3466 0.0000  2 Co 2.58
Sn 0.1176 0.2353 0.2737  2 Co 2.62
Sn 0.2183 0.4366 0.5465  1 Co 2.66
Sn 0.3333 0.6667 0.1182  1 Sn 2.94, 3 Er 3.08
Sn 0.3333 0.6667 0.8208  3 Co 2.77, 1 Sn 2.94

Results
For the total energy, the calculation gives -5.029 eV per atom. As for the crystal system: trigonal. For the size of the total moment, the calculation gives 0.0 μB per formula unit.

Number 1: calculated formation energy -0.128 eV/atom. Number 2: calculated formation energy -0.170 eV/atom. Number 3: calculated formation energy -0.200 eV/atom. Number 4: calculated formation energy -0.400 eV/atom.